A relaxed LiMoP2O7 crystal, computed with GGA+U.

Geometry as POSCAR:
```
LiMoP2O7
1.0
5.0986 0.0000 0.0000
0.0000 8.5701 -0.0232
0.0000 2.5816 12.4738
Li P O Mo
4 8 28 4
direct
0.7457 0.1160 0.3048
0.7543 0.6160 0.8048
0.2457 0.3840 0.1952
0.2543 0.8840 0.6952
0.2574 0.4202 0.8791
0.7426 0.5798 0.1209
0.7630 0.9673 0.8520
0.2370 0.0327 0.1480
0.2630 0.5327 0.6480
0.7370 0.4673 0.3520
0.7574 0.0798 0.6209
0.2426 0.9202 0.3791
0.6142 0.2188 0.5536
0.1366 0.5842 0.8827
0.7106 0.0538 0.9409
0.7067 0.0974 0.7432
0.2067 0.4026 0.7568
0.4253 0.1769 0.1449
0.5549 0.4157 0.9017
0.4520 0.4126 0.3390
0.4451 0.5843 0.0983
0.0549 0.0843 0.5983
0.6366 0.9158 0.6173
0.0747 0.6769 0.6449
0.2933 0.9026 0.2568
0.3858 0.7812 0.4464
0.8858 0.7188 0.0536
0.9520 0.0874 0.1610
0.7933 0.5974 0.2432
0.3634 0.0842 0.3827
0.5747 0.8231 0.8551
0.5480 0.5874 0.6610
0.9451 0.9157 0.4017
0.1142 0.2812 0.9464
0.9253 0.3231 0.3551
0.0480 0.9126 0.8390
0.8634 0.4158 0.1173
0.7894 0.5538 0.4409
0.2106 0.4462 0.5591
0.2894 0.9462 0.0591
0.2522 0.2626 0.4714
0.7522 0.2374 0.0286
0.7478 0.7374 0.5286
0.2478 0.7626 0.9714
```

Fermi-level density of states = 0.00 states/eV/cell
space-group type = P2_1/c, No. 14
relative energy among the computed polymorphs = 21 meV/atom